No. 1
Entry from Alexandria: a relaxed structure of TlPb2W (GGA-PBE).

CIF file:
```
data_TlPb2W
_symmetry_space_group_name_H-M 'P 4/m m m'
_symmetry_Int_Tables_number 123
_symmetry_space_group_name_Hall '-P 4 2'
_cell_length_a 5.591
_cell_length_b 5.591
_cell_length_c 3.177
_cell_angle_alpha 90.00
_cell_angle_beta 90.00
_cell_angle_gamma 90.00
loop_
_atom_site_label
_atom_site_type_symbol
_atom_site_fract_x
_atom_site_fract_y
_atom_site_fract_z
Tl1 Tl 0.000 0.000 0.000
Pb1 Pb 0.000 0.500 0.500
W1 W 0.500 0.500 0.000
```

Computed properties:
Energy relative to the elements: 1.016 eV/atom
Relative energy among the computed polymorphs: 385 meV per atom
Magnetic moment: 0.00 Bohr magnetons per cell
Uncorrected energy: -18.7 eV per cell

=====

No. 2
Entry from Alexandria: a relaxed structure of Tl2PbW (GGA-PBE).

CIF file:
```
data_Tl2PbW
_symmetry_space_group_name_H-M 'I 4/m m m'
_symmetry_Int_Tables_number 139
_symmetry_space_group_name_Hall '-I 4 2'
_cell_length_a 4.425
_cell_length_b 4.425
_cell_length_c 9.793
_cell_angle_alpha 90.00
_cell_angle_beta 90.00
_cell_angle_gamma 90.00
loop_
_atom_site_label
_atom_site_type_symbol
_atom_site_fract_x
_atom_site_fract_y
_atom_site_fract_z
Tl1 Tl 0.000 0.500 0.250
Pb1 Pb 0.000 0.000 0.000
W1 W 0.000 0.000 0.500
```

Computed properties:
Energy relative to the elements: 1.080 eV/atom
Relative energy among the computed polymorphs: 408 meV per atom
Magnetic moment: 2.45 Bohr magnetons per cell
Uncorrected energy: -34.1 eV per cell

=====

No. 3
Entry from Alexandria: a relaxed structure of TlPbW2 (GGA-PBE).

CIF file:
```
data_TlPbW2
_symmetry_space_group_name_H-M 'C 1 2/m 1'
_symmetry_Int_Tables_number 12
_symmetry_space_group_name_Hall '-C 2y'
_cell_length_a 9.996
_cell_length_b 3.428
_cell_length_c 5.250
_cell_angle_alpha 90.00
_cell_angle_beta 93.62
_cell_angle_gamma 90.00
loop_
_atom_site_label
_atom_site_type_symbol
_atom_site_fract_x
_atom_site_fract_y
_atom_site_fract_z
Tl1 Tl 0.000 0.000 0.000
Pb1 Pb 0.000 0.500 0.500
W1 W 0.243 0.500 0.174
```

Computed properties:
Energy relative to the elements: 1.050 eV/atom
Relative energy among the computed polymorphs: 463 meV per atom
Magnetic moment: 0.00 Bohr magnetons per cell
Uncorrected energy: -55.6 eV per cell

=====

No. 4
Entry from Alexandria: a relaxed structure of Tl2PbW (GGA-PBE).

CIF file:
```
data_Tl2PbW
_symmetry_space_group_name_H-M 'C m m m'
_symmetry_Int_Tables_number 65
_symmetry_space_group_name_Hall '-C 2 2'
_cell_length_a 3.378
_cell_length_b 5.292
_cell_length_c 10.961
_cell_angle_alpha 90.00
_cell_angle_beta 90.00
_cell_angle_gamma 90.00
loop_
_atom_site_label
_atom_site_type_symbol
_atom_site_fract_x
_atom_site_fract_y
_atom_site_fract_z
Tl1 Tl 0.000 0.000 0.222
Pb1 Pb 0.000 0.500 0.500
W1 W 0.000 0.500 0.000
```

Computed properties:
Energy relative to the elements: 0.780 eV/atom
Relative energy among the computed polymorphs: 108 meV per atom
Magnetic moment: 0.00 Bohr magnetons per cell
Uncorrected energy: -36.5 eV per cell

=====

No. 5
Entry from Alexandria: a relaxed structure of TlPbW (GGA-PBE).

CIF file:
```
data_TlPbW
_symmetry_space_group_name_H-M 'I 4 m m'
_symmetry_Int_Tables_number 107
_symmetry_space_group_name_Hall 'I 4 -2'
_cell_length_a 2.978
_cell_length_b 2.978
_cell_length_c 17.257
_cell_angle_alpha 90.00
_cell_angle_beta 90.00
_cell_angle_gamma 90.00
loop_
_atom_site_label
_atom_site_type_symbol
_atom_site_fract_x
_atom_site_fract_y
_atom_site_fract_z
Tl1 Tl 0.000 0.000 0.000
Pb1 Pb 0.000 0.000 0.280
W1 W 0.000 0.000 0.644
```

Computed properties:
Energy relative to the elements: 0.902 eV/atom
Relative energy among the computed polymorphs: 43 meV per atom
Magnetic moment: 0.00 Bohr magnetons per cell
Uncorrected energy: -32.6 eV per cell

=====

No. 6
Entry from Alexandria: a relaxed structure of TlPbW (GGA-PBE).

CIF file:
```
data_TlPbW
_symmetry_space_group_name_H-M 'F m m 2'
_symmetry_Int_Tables_number 42
_symmetry_space_group_name_Hall 'F 2 -2'
_cell_length_a 3.583
_cell_length_b 4.822
_cell_length_c 17.623
_cell_angle_alpha 90.00
_cell_angle_beta 90.00
_cell_angle_gamma 90.00
loop_
_atom_site_label
_atom_site_type_symbol
_atom_site_fract_x
_atom_site_fract_y
_atom_site_fract_z
Tl1 Tl 0.000 0.000 0.000
Pb1 Pb 0.000 0.000 0.280
W1 W 0.000 0.000 0.644
```

Computed properties:
Energy relative to the elements: 0.859 eV/atom
Relative energy among the computed polymorphs: 0 meV per atom
Magnetic moment: 0.00 Bohr magnetons per cell
Uncorrected energy: -65.8 eV per cell

=====

No. 7
Entry from Alexandria: a relaxed structure of TlPbW2 (GGA-PBE).

CIF file:
```
data_TlPbW2
_symmetry_space_group_name_H-M 'F m -3 m'
_symmetry_Int_Tables_number 225
_symmetry_space_group_name_Hall '-F 4 2 3'
_cell_length_a 6.775
_cell_length_b 6.775
_cell_length_c 6.775
_cell_angle_alpha 90.00
_cell_angle_beta 90.00
_cell_angle_gamma 90.00
loop_
_atom_site_label
_atom_site_type_symbol
_atom_site_fract_x
_atom_site_fract_y
_atom_site_fract_z
Tl1 Tl 0.000 0.000 0.000
Pb1 Pb 0.000 0.000 0.500
W1 W 0.250 0.250 0.250
```

Computed properties:
Energy relative to the elements: 1.354 eV/atom
Relative energy among the computed polymorphs: 768 meV per atom
Magnetic moment: 0.00 Bohr magnetons per cell
Uncorrected energy: -106.3 eV per cell

=====

No. 8
Entry from Alexandria: a relaxed structure of Tl2PbW (GGA-PBE).

CIF file:
```
data_Tl2PbW
_symmetry_space_group_name_H-M 'R 3 m'
_symmetry_Int_Tables_number 160
_symmetry_space_group_name_Hall 'R 3 -2"'
_cell_length_a 3.2079
_cell_length_b 3.2079
_cell_length_c 33.9524
_cell_angle_alpha 90.00
_cell_angle_beta 90.00
_cell_angle_gamma 120.00
loop_
_atom_site_label
_atom_site_type_symbol
_atom_site_fract_x
_atom_site_fract_y
_atom_site_fract_z
Tl1 Tl 0.0000 0.0000 0.0000
Tl2 Tl 0.0000 0.0000 0.2458
Pb1 Pb 0.0000 0.0000 0.7704
W1 W 0.0000 0.0000 0.5076
```

Computed properties:
Energy relative to the elements: 0.681 eV/atom
Relative energy among the computed polymorphs: 9 meV per atom
Magnetic moment: 0.00 Bohr magnetons per cell
Uncorrected energy: -56.0 eV per cell

=====

No. 9
Entry from Alexandria: a relaxed structure of TlPbW (GGA-PBE).

CIF file:
```
data_TlPbW
_symmetry_space_group_name_H-M 'I 4 m m'
_symmetry_Int_Tables_number 107
_symmetry_space_group_name_Hall 'I 4 -2'
_cell_length_a 3.643
_cell_length_b 3.643
_cell_length_c 9.962
_cell_angle_alpha 90.00
_cell_angle_beta 90.00
_cell_angle_gamma 90.00
loop_
_atom_site_label
_atom_site_type_symbol
_atom_site_fract_x
_atom_site_fract_y
_atom_site_fract_z
Tl1 Tl 0.000 0.000 0.000
Pb1 Pb 0.000 0.000 0.690
W1 W 0.000 0.000 0.339
```

Computed properties:
Energy relative to the elements: 1.073 eV/atom
Relative energy among the computed polymorphs: 214 meV per atom
Magnetic moment: 0.00 Bohr magnetons per cell
Uncorrected energy: -31.6 eV per cell

=====

No. 10
Entry from Alexandria: a relaxed structure of TlPb2W (GGA-PBE).

CIF file:
```
data_TlPb2W
_symmetry_space_group_name_H-M 'C m m 2'
_symmetry_Int_Tables_number 35
_symmetry_space_group_name_Hall 'C 2 -2'
_cell_length_a 3.647
_cell_length_b 5.111
_cell_length_c 10.951
_cell_angle_alpha 90.00
_cell_angle_beta 90.00
_cell_angle_gamma 90.00
loop_
_atom_site_label
_atom_site_type_symbol
_atom_site_fract_x
_atom_site_fract_y
_atom_site_fract_z
Tl1 Tl 0.000 0.000 0.000
Pb1 Pb 0.000 0.000 0.426
Pb2 Pb 0.000 0.500 0.734
W1 W 0.000 0.500 0.214
```

Computed properties:
Energy relative to the elements: 0.733 eV/atom
Relative energy among the computed polymorphs: 101 meV per atom
Magnetic moment: 0.00 Bohr magnetons per cell
Uncorrected energy: -39.6 eV per cell

=====

No. 11
Entry from Alexandria: a relaxed structure of Tl3PbW (GGA-PBE).

CIF file:
```
data_Tl3PbW
_symmetry_space_group_name_H-M 'P m -3 m'
_symmetry_Int_Tables_number 221
_symmetry_space_group_name_Hall '-P 4 2 3'
_cell_length_a 5.930
_cell_length_b 5.930
_cell_length_c 5.930
_cell_angle_alpha 90.00
_cell_angle_beta 90.00
_cell_angle_gamma 90.00
loop_
_atom_site_label
_atom_site_type_symbol
_atom_site_fract_x
_atom_site_fract_y
_atom_site_fract_z
Tl1 Tl 0.000 0.000 0.500
Pb1 Pb 0.000 0.000 0.000
W1 W 0.500 0.500 0.500
```

Computed properties:
Energy relative to the elements: 1.663 eV/atom
Relative energy among the computed polymorphs: 839 meV per atom
Magnetic moment: 4.78 Bohr magnetons per cell
Uncorrected energy: -15.4 eV per cell

=====

No. 12
Entry from Alexandria: a relaxed structure of TlPb2W (GGA-PBE).

CIF file:
```
data_TlPb2W
_symmetry_space_group_name_H-M 'P 1 m 1'
_symmetry_Int_Tables_number 6
_symmetry_space_group_name_Hall 'P -2y'
_cell_length_a 3.213
_cell_length_b 5.209
_cell_length_c 6.072
_cell_angle_alpha 90.00
_cell_angle_beta 105.18
_cell_angle_gamma 90.00
loop_
_atom_site_label
_atom_site_type_symbol
_atom_site_fract_x
_atom_site_fract_y
_atom_site_fract_z
Tl1 Tl 0.000 0.000 0.000
Pb1 Pb 0.401 0.500 0.803
Pb2 Pb 0.734 0.000 0.466
W1 W 0.136 0.500 0.263
```

Computed properties:
Energy relative to the elements: 0.902 eV/atom
Relative energy among the computed polymorphs: 270 meV per atom
Magnetic moment: 0.00 Bohr magnetons per cell
Uncorrected energy: -19.1 eV per cell

=====

No. 13
Entry from Alexandria: a relaxed structure of TlPbW2 (GGA-PBE).

CIF file:
```
data_TlPbW2
_symmetry_space_group_name_H-M 'P 4/m m m'
_symmetry_Int_Tables_number 123
_symmetry_space_group_name_Hall '-P 4 2'
_cell_length_a 4.191
_cell_length_b 4.191
_cell_length_c 4.607
_cell_angle_alpha 90.00
_cell_angle_beta 90.00
_cell_angle_gamma 90.00
loop_
_atom_site_label
_atom_site_type_symbol
_atom_site_fract_x
_atom_site_fract_y
_atom_site_fract_z
Tl1 Tl 0.000 0.000 0.000
Pb1 Pb 0.500 0.500 0.000
W1 W 0.000 0.500 0.500
```

Computed properties:
Energy relative to the elements: 1.419 eV/atom
Relative energy among the computed polymorphs: 833 meV per atom
Magnetic moment: 0.00 Bohr magnetons per cell
Uncorrected energy: -26.3 eV per cell

=====

No. 14
Entry from Alexandria: a relaxed structure of TlPbW2 (GGA-PBE).

CIF file:
```
data_TlPbW2
_symmetry_space_group_name_H-M 'F -4 3 m'
_symmetry_Int_Tables_number 216
_symmetry_space_group_name_Hall 'F -4 2 3'
_cell_length_a 6.897
_cell_length_b 6.897
_cell_length_c 6.897
_cell_angle_alpha 90.00
_cell_angle_beta 90.00
_cell_angle_gamma 90.00
loop_
_atom_site_label
_atom_site_type_symbol
_atom_site_fract_x
_atom_site_fract_y
_atom_site_fract_z
Tl1 Tl 0.000 0.000 0.000
Pb1 Pb 0.250 0.250 0.750
W1 W 0.000 0.000 0.500
W2 W 0.250 0.250 0.250
```

Computed properties:
Energy relative to the elements: 1.272 eV/atom
Relative energy among the computed polymorphs: 685 meV per atom
Magnetic moment: 0.00 Bohr magnetons per cell
Uncorrected energy: -107.6 eV per cell

=====

No. 15
Entry from Alexandria: a relaxed structure of TlPbW2 (GGA-PBE).

CIF file:
```
data_TlPbW2
_symmetry_space_group_name_H-M 'C m m 2'
_symmetry_Int_Tables_number 35
_symmetry_space_group_name_Hall 'C 2 -2'
_cell_length_a 3.322
_cell_length_b 5.046
_cell_length_c 10.950
_cell_angle_alpha 90.00
_cell_angle_beta 90.00
_cell_angle_gamma 90.00
loop_
_atom_site_label
_atom_site_type_symbol
_atom_site_fract_x
_atom_site_fract_y
_atom_site_fract_z
Tl1 Tl 0.000 0.000 0.000
Pb1 Pb 0.000 0.500 0.664
W1 W 0.000 0.000 0.424
W2 W 0.000 0.500 0.248
```

Computed properties:
Energy relative to the elements: 0.643 eV/atom
Relative energy among the computed polymorphs: 57 meV per atom
Magnetic moment: 0.00 Bohr magnetons per cell
Uncorrected energy: -58.8 eV per cell

=====

No. 16
Entry from Alexandria: a relaxed structure of Tl2PbW (GGA-PBE).

CIF file:
```
data_Tl2PbW
_symmetry_space_group_name_H-M 'P 4/m m m'
_symmetry_Int_Tables_number 123
_symmetry_space_group_name_Hall '-P 4 2'
_cell_length_a 5.476
_cell_length_b 5.476
_cell_length_c 3.186
_cell_angle_alpha 90.00
_cell_angle_beta 90.00
_cell_angle_gamma 90.00
loop_
_atom_site_label
_atom_site_type_symbol
_atom_site_fract_x
_atom_site_fract_y
_atom_site_fract_z
Tl1 Tl 0.000 0.500 0.000
Pb1 Pb 0.000 0.000 0.500
W1 W 0.500 0.500 0.500
```

Computed properties:
Energy relative to the elements: 1.050 eV/atom
Relative energy among the computed polymorphs: 378 meV per atom
Magnetic moment: 0.00 Bohr magnetons per cell
Uncorrected energy: -17.2 eV per cell

=====

No. 17
Entry from Alexandria: a relaxed structure of TlPbW2 (GGA-PBE).

CIF file:
```
data_TlPbW2
_symmetry_space_group_name_H-M 'C 1 m 1'
_symmetry_Int_Tables_number 8
_symmetry_space_group_name_Hall 'C -2y'
_cell_length_a 10.658
_cell_length_b 3.292
_cell_length_c 5.314
_cell_angle_alpha 90.00
_cell_angle_beta 111.87
_cell_angle_gamma 90.00
loop_
_atom_site_label
_atom_site_type_symbol
_atom_site_fract_x
_atom_site_fract_y
_atom_site_fract_z
Tl1 Tl 0.000 0.000 0.000
Pb1 Pb 0.286 0.500 0.361
W1 W 0.059 0.500 0.547
W2 W 0.231 0.000 0.820
```

Computed properties:
Energy relative to the elements: 0.936 eV/atom
Relative energy among the computed polymorphs: 349 meV per atom
Magnetic moment: 0.00 Bohr magnetons per cell
Uncorrected energy: -56.5 eV per cell

=====

No. 18
Entry from Alexandria: a relaxed structure of TlPb2W2 (GGA-PBE).

CIF file:
```
data_TlPb2W2
_symmetry_space_group_name_H-M 'P 4/m b m'
_symmetry_Int_Tables_number 127
_symmetry_space_group_name_Hall '-P 4 2ab'
_cell_length_a 9.083
_cell_length_b 9.083
_cell_length_c 3.025
_cell_angle_alpha 90.00
_cell_angle_beta 90.00
_cell_angle_gamma 90.00
loop_
_atom_site_label
_atom_site_type_symbol
_atom_site_fract_x
_atom_site_fract_y
_atom_site_fract_z
Tl1 Tl 0.000 0.000 0.000
Pb1 Pb 0.185 0.315 0.000
W1 W 0.092 0.592 0.500
```

Computed properties:
Energy relative to the elements: 0.987 eV/atom
Relative energy among the computed polymorphs: 325 meV per atom
Magnetic moment: 0.00 Bohr magnetons per cell
Uncorrected energy: -61.5 eV per cell

=====

No. 19
Entry from Alexandria: a relaxed structure of Tl2PbW (GGA-PBE).

CIF file:
```
data_Tl2PbW
_symmetry_space_group_name_H-M 'P 1 m 1'
_symmetry_Int_Tables_number 6
_symmetry_space_group_name_Hall 'P -2y'
_cell_length_a 3.205
_cell_length_b 5.073
_cell_length_c 6.075
_cell_angle_alpha 90.00
_cell_angle_beta 105.19
_cell_angle_gamma 90.00
loop_
_atom_site_label
_atom_site_type_symbol
_atom_site_fract_x
_atom_site_fract_y
_atom_site_fract_z
Tl1 Tl 0.000 0.000 0.000
Tl2 Tl 0.396 0.500 0.792
Pb1 Pb 0.730 0.000 0.466
W1 W 0.135 0.500 0.271
```

Computed properties:
Energy relative to the elements: 0.877 eV/atom
Relative energy among the computed polymorphs: 204 meV per atom
Magnetic moment: 0.00 Bohr magnetons per cell
Uncorrected energy: -17.9 eV per cell

=====

No. 20
Entry from Alexandria: a relaxed structure of TlPb2W (GGA-PBE).

CIF file:
```
data_TlPb2W
_symmetry_space_group_name_H-M 'I m m m'
_symmetry_Int_Tables_number 71
_symmetry_space_group_name_Hall '-I 2 2'
_cell_length_a 3.080
_cell_length_b 4.988
_cell_length_c 14.153
_cell_angle_alpha 90.00
_cell_angle_beta 90.00
_cell_angle_gamma 90.00
loop_
_atom_site_label
_atom_site_type_symbol
_atom_site_fract_x
_atom_site_fract_y
_atom_site_fract_z
Tl1 Tl 0.000 0.000 0.000
Pb1 Pb 0.000 0.500 0.181
W1 W 0.000 0.000 0.500
```

Computed properties:
Energy relative to the elements: 0.649 eV/atom
Relative energy among the computed polymorphs: 17 meV per atom
Magnetic moment: 0.00 Bohr magnetons per cell
Uncorrected energy: -40.3 eV per cell